VASP calculation (PBE-GGA) on crystalline Ca4LaTb3Te8 at its relaxed geometry.

Geometry as POSCAR:
```
Ca4LaTb3Te8
1.0
-6.593 -1.296 5.770
-1.696 -7.999 -3.735
8.161 1.805 2.933
Ca Te Tb La
4 8 3 1
direct
0.000 0.000 0.000 Ca
0.000 0.000 0.500 Ca
0.500 0.000 0.500 Ca
0.500 0.000 0.000 Ca
0.746 0.249 0.003 Te
0.257 0.249 0.003 Te
0.748 0.746 0.497 Te
0.254 0.751 0.508 Te
0.252 0.254 0.503 Te
0.254 0.751 0.997 Te
0.743 0.751 0.997 Te
0.746 0.249 0.492 Te
0.500 0.500 0.500 Tb
0.000 0.500 0.500 Tb
0.500 0.500 0.000 Tb
0.000 0.500 0.000 La
```

Computed properties:
For the energy, the calculation gives -75.85 eV/cell. For the formation energy from raw total energies, the calculation gives -1493 meV/atom. For the density of states at the Fermi level, the calculation gives 6.320 states/eV per cell. As for the total magnetization: 0.00 μB per atom.

VASP calculation (PBE-GGA) on crystalline SrCa2Mg at its relaxed geometry.

Geometry as POSCAR:
```
SrCa2Mg
1.0
-0.797 0.064 6.942
-4.815 0.086 5.064
-1.214 -5.360 2.536
Ca Mg Sr
2 1 1
direct
0.005 0.005 0.995 Ca
0.774 0.774 0.726 Ca
0.492 0.492 0.509 Mg
0.230 0.230 0.270 Sr
```

Computed properties:
For the energy, the calculation gives -7.19 eV/cell. For the energy of formation, the calculation gives 0.022 eV per atom. For the density of states at the Fermi level, the calculation gives 4.666 states/eV per cell. As for the total magnetization: 0.00 μB per atom.